(1)
{"formula": "BaCu3Pb", "functional": "PBE-GGA", "state": "relaxed", "lattice": [[5.106, 0.000, 0.000], [0.000, 5.106, 0.000], [0.000, 0.000, 5.106]], "species": ["Cu", "Pb", "Ba", "Cu", "Cu"], "frac_coords": [[0.000, 0.500, 0.000], [0.000, 0.000, 0.000], [0.500, 0.500, 0.500], [0.000, 0.000, 0.500], [0.500, 0.000, 0.000]], "magnetic_moment_mub_per_fu": 0.00, "sg": "Pm-3m (221)", "formation_energy_kj_per_mol_atoms": 26.7}

(2)
{"formula": "Ba2Cu2Pb", "functional": "PBE-GGA", "state": "relaxed", "lattice": [[8.343, 0.000, 0.000], [0.000, 8.343, 0.000], [0.000, 0.000, 4.423]], "species": ["Cu", "Cu", "Cu", "Ba", "Ba", "Ba", "Pb", "Ba", "Cu", "Pb"], "frac_coords": [[0.104, 0.396, 0.000], [0.604, 0.104, 0.000], [0.396, 0.896, 0.000], [0.687, 0.813, 0.500], [0.187, 0.687, 0.500], [0.813, 0.313, 0.500], [0.500, 0.500, 0.000], [0.313, 0.187, 0.500], [0.896, 0.604, 0.000], [0.000, 0.000, 0.000]], "magnetic_moment_mub_per_fu": 0.00, "sg": "P4/mbm (127)", "formation_energy_kj_per_mol_atoms": -13.8}

(3)
{"formula": "BaCuPb", "functional": "PBE-GGA", "state": "relaxed", "lattice": [[-2.181, 4.912, 2.136], [-4.056, -1.123, 3.965], [5.596, -0.951, -1.103]], "species": ["Cu", "Pb", "Ba"], "frac_coords": [[0.359, 0.359, 0.000], [0.645, 0.645, 0.000], [0.996, 0.996, 0.000]], "magnetic_moment_mub_per_fu": 0.00, "sg": "Imm2 (44)", "formation_energy_kj_per_mol_atoms": 7.3}